This record from the Alexandria database describes crystalline ReTeAs2 at its relaxed geometry. The functional is PBE-GGA. Values from VASP.

Cell and atoms, written as Quantum ESPRESSO input:
```
&SYSTEM
  ibrav = 0, nat = 8, ntyp = 3
/
ATOMIC_SPECIES
Re 186.21 Re.upf
As 74.92 As.upf
Te 127.60 Te.upf
ATOMIC_POSITIONS angstrom
Re 6.345 3.173 2.688
As 7.931 8.366 4.031
Te 3.173 3.173 0.000
As 1.152 4.759 1.344
As 5.193 1.586 1.344
As 4.759 4.324 4.031
Te 3.173 6.345 2.688
Re 0.000 0.000 0.000
CELL_PARAMETERS angstrom
6.345 0.000 0.000
0.000 6.345 0.000
3.173 3.173 5.375
```


This record from the Alexandria database describes crystalline ReTe2As at its relaxed geometry. The functional is PBE-GGA. Values from VASP.

Cell and atoms, written as Quantum ESPRESSO input:
```
&SYSTEM
  ibrav = 0, nat = 4, ntyp = 3
/
ATOMIC_SPECIES
As 74.92 As.upf
Re 186.21 Re.upf
Te 127.60 Te.upf
ATOMIC_POSITIONS angstrom
As 1.587 1.587 2.215
Re 1.587 1.587 6.645
Te 0.000 0.000 4.912
Te 0.000 0.000 8.377
CELL_PARAMETERS angstrom
3.175 0.000 0.000
0.000 3.175 0.000
0.000 0.000 8.860
```


This record from the Alexandria database describes crystalline ReTeAs2 at its relaxed geometry. The functional is PBE-GGA. Values from VASP.

Cell and atoms, written as Quantum ESPRESSO input:
```
&SYSTEM
  ibrav = 0, nat = 4, ntyp = 3
/
ATOMIC_SPECIES
As 74.92 As.upf
Te 127.60 Te.upf
Re 186.21 Re.upf
ATOMIC_POSITIONS angstrom
As 0.000 0.000 3.792
Te 1.536 1.536 6.860
Re 1.536 1.536 2.287
As 0.000 0.000 0.781
CELL_PARAMETERS angstrom
3.071 0.000 0.000
0.000 3.071 0.000
0.000 0.000 9.147
```


This record from the Alexandria database describes crystalline ReTe2As at its relaxed geometry. The functional is PBE-GGA. Values from VASP.

Cell and atoms, written as Quantum ESPRESSO input:
```
&SYSTEM
  ibrav = 0, nat = 4, ntyp = 3
/
ATOMIC_SPECIES
Te 127.60 Te.upf
Re 186.21 Re.upf
As 74.92 As.upf
ATOMIC_POSITIONS angstrom
Te -7.562 -6.664 -8.608
Re -11.632 -10.250 -13.241
As -3.877 -3.417 -4.414
Te -0.193 -0.170 -0.219
CELL_PARAMETERS angstrom
-5.479 -2.912 -6.885
-3.655 -5.698 -6.331
-6.375 -5.057 -4.438
```


no.,uncorrected formation energy (eV/atom),spin magnetization (μB per cell)
1,0.541,0.00
2,0.537,0.00
3,0.122,0.00
4,0.484,0.00